(1)
First-principles (PBE) data for a relaxed Ac3La2SmAs6 crystal, as listed in Alexandria.

a = 19.3463 Å, b = 4.4398 Å, c = 8.8800 Å
α = 90.00°, β = 103.32°, γ = 90.00°
Closest atoms and distances in Å follow each position.
Space group C2/m (No. 12)
Inequivalent atoms, fractional coordinates:
Ac: 0.0000 0.0000 0.0000 (multiplicity 2)  6 As 3.18-3.21
Ac: 0.1666 0.5000 0.3341 (multiplicity 4)  6 As 3.17-3.22
La: 0.1657 0.5000 0.8319 (multiplicity 4)  6 As 3.09-3.11
Sm: 0.0000 0.0000 0.5000 (multiplicity 2)  6 As 3.06-3.07
As: 0.0018 0.5000 0.7393 (multiplicity 4)  2 Sm 3.07, 1 La 3.09, 3 Ac 3.17-3.21
As: 0.1624 0.0000 0.5876 (multiplicity 4)  1 Sm 3.06, 2 La 3.09, 3 Ac 3.18-3.22
As: 0.1689 0.0000 0.0779 (multiplicity 4)  3 La 3.11, 3 Ac 3.18-3.19

Results
**Uncorrected energy**: -6.073 eV per atom


(2)
First-principles (PBE) data for a relaxed Ac2La3SmAs6 crystal, as listed in Alexandria.

a = 19.2231 Å, b = 4.4138 Å, c = 8.8285 Å
α = 90.00°, β = 103.26°, γ = 90.00°
Closest atoms and distances in Å follow each position.
Space group C2/m (No. 12)
Inequivalent atoms, fractional coordinates:
Ac: 0.1650 0.0000 0.3307 (multiplicity 4)  6 As 3.14-3.19
La: 0.0000 0.5000 0.5000 (multiplicity 2)  6 As 3.07-3.16
La: 0.1664 0.0000 0.8351 (multiplicity 4)  6 As 3.06-3.17
Sm: 0.0000 0.5000 0.0000 (multiplicity 2)  6 As 3.07-3.09
As: 0.0028 0.0000 0.7571 (multiplicity 4)  3 La 3.06-3.16, 2 Sm 3.09, 1 Ac 3.14
As: 0.1640 0.5000 0.0750 (multiplicity 4)  3 La 3.07-3.17, 1 Sm 3.07, 2 Ac 3.15
As: 0.1643 0.5000 0.5893 (multiplicity 4)  3 La 3.07-3.09, 3 Ac 3.18-3.19

Results
**Uncorrected energy**: -6.153 eV per atom


(3)
First-principles (PBE) data for a relaxed AcLaSm2As4 crystal, as listed in Alexandria.

a = 7.5156 Å, b = 4.3413 Å, c = 7.5219 Å
α = 90.00°, β = 109.43°, γ = 90.00°
Closest atoms and distances in Å follow each position.
Space group P2/m (No. 10)
Inequivalent atoms, fractional coordinates:
Ac: 0.0000 0.0000 0.0000 (multiplicity 1)  6 As 3.14
La: 0.5000 0.5000 0.0000 (multiplicity 1)  6 As 3.10
Sm: 0.0000 0.5000 0.5000 (multiplicity 1)  6 As 3.04
Sm: 0.5000 0.0000 0.5000 (multiplicity 1)  6 As 3.00
As: 0.2507 0.0000 0.7392 (multiplicity 2)  3 Sm 3.00-3.04, 2 La 3.10, 1 Ac 3.14
As: 0.2591 0.5000 0.2642 (multiplicity 2)  3 Sm 3.00-3.04, 1 La 3.10, 2 Ac 3.14

Results
**Uncorrected energy**: -6.145 eV per atom


- Among the records above, which one has the highest uncorrected energy?
  Ac3La2SmAs6


- Which of these has the highest uncorrected energy?
  Ac3La2SmAs6


Repeat the first record exactly.
First-principles (PBE) data for a relaxed Ac3La2SmAs6 crystal, as listed in Alexandria.

a = 19.3463 Å, b = 4.4398 Å, c = 8.8800 Å
α = 90.00°, β = 103.32°, γ = 90.00°
Closest atoms and distances in Å follow each position.
Space group C2/m (No. 12)
Inequivalent atoms, fractional coordinates:
Ac: 0.0000 0.0000 0.0000 (multiplicity 2)  6 As 3.18-3.21
Ac: 0.1666 0.5000 0.3341 (multiplicity 4)  6 As 3.17-3.22
La: 0.1657 0.5000 0.8319 (multiplicity 4)  6 As 3.09-3.11
Sm: 0.0000 0.0000 0.5000 (multiplicity 2)  6 As 3.06-3.07
As: 0.0018 0.5000 0.7393 (multiplicity 4)  2 Sm 3.07, 1 La 3.09, 3 Ac 3.17-3.21
As: 0.1624 0.0000 0.5876 (multiplicity 4)  1 Sm 3.06, 2 La 3.09, 3 Ac 3.18-3.22
As: 0.1689 0.0000 0.0779 (multiplicity 4)  3 La 3.11, 3 Ac 3.18-3.19

Results
**Uncorrected energy**: -6.073 eV per atom


- Among the records above, which one has the lowest uncorrected energy?
  Ac2La3SmAs6